Entry 1:
DFT (GGA+U) results for a relaxed MoPO2F crystal.

It has space group P4/mmm (No. 123), with a = 3.7788 Å, b = 3.7788 Å, c = 5.0618 Å, α = 90.00°, β = 90.00° and γ = 90.00°. The inequivalent atoms are Mo at (0.0000, 0.0000, 0.0000), P at (0.0000, 0.0000, 0.5000), O at (0.0000, 0.5000, 0.0000) and F at (0.5000, 0.5000, 0.5000).

The calculation puts the total energy at -28.06 eV for the cell shown. Its total magnetic moment is 0.06 μB/cell.

=====

Entry 2:
DFT (GGA+U) results for a relaxed MoP2OF crystal.

It has space group P4/mmm (No. 123), with a = 3.9304 Å, b = 3.9304 Å, c = 4.6474 Å, α = 90.00°, β = 90.00° and γ = 90.00°. The inequivalent atoms are Mo at (0.0000, 0.0000, 0.0000), P at (0.0000, 0.5000, 0.5000), O at (0.5000, 0.5000, 0.0000) and F at (0.5000, 0.5000, 0.5000).

The calculation puts the total energy at -21.73 eV for the cell shown. Its total magnetic moment is 2.24 μB/cell. For the offset from the most stable computed form, the calculation gives 620 meV per atom.

=====

Entry 3:
DFT (GGA+U) results for a relaxed MoPO2F crystal.

It has space group P4/mmm (No. 123), with a = 3.9449 Å, b = 3.9449 Å, c = 4.3080 Å, α = 90.00°, β = 90.00° and γ = 90.00°. The inequivalent atoms are Mo at (0.0000, 0.0000, 0.0000), P at (0.5000, 0.5000, 0.5000), O at (0.0000, 0.5000, 0.0000) and F at (0.0000, 0.0000, 0.5000).

The calculation puts the total energy at -26.66 eV for the cell shown. Its total magnetic moment is 2.19 μB/cell.

=====

Entry 4:
DFT (GGA+U) results for a relaxed MoPO2F crystal.

It has space group P4/mmm (No. 123), with a = 4.3239 Å, b = 4.3239 Å, c = 3.4389 Å, α = 90.00°, β = 90.00° and γ = 90.00°. The inequivalent atoms are Mo at (0.0000, 0.0000, 0.0000), P at (0.5000, 0.5000, 0.0000), O at (0.0000, 0.5000, 0.5000) and F at (0.5000, 0.5000, 0.5000).

The calculation puts the total energy at -21.06 eV for the cell shown. Its total magnetic moment is 3.80 μB/cell.

=====

Entry 5:
DFT (GGA+U) results for a relaxed MoPO2F crystal.

It has space group P4/mmm (No. 123), with a = 3.8345 Å, b = 3.8345 Å, c = 4.1409 Å, α = 90.00°, β = 90.00° and γ = 90.00°. The inequivalent atoms are Mo at (0.0000, 0.0000, 0.0000), P at (0.5000, 0.5000, 0.5000), O at (0.0000, 0.5000, 0.5000) and F at (0.5000, 0.5000, 0.0000).

The calculation puts the total energy at -27.09 eV for the cell shown. Its total magnetic moment is 4.42 μB/cell.

=====

Entry 6:
DFT (GGA+U) results for a relaxed MoPO4F crystal.

It has space group C2/m (No. 12), with a = 8.3087 Å, b = 6.6198 Å, c = 8.0311 Å, α = 90.00°, β = 119.23° and γ = 90.00°. The inequivalent atoms are Mo at (0.1896, 0.0000, 0.2203), P at (0.1448, 0.5000, 0.3003), O at (0.0530, 0.5000, 0.7219), O at (0.1767, 0.3133, 0.2100), O at (0.2217, 0.0000, 0.4791) and F at (0.0956, 0.0000, 0.9229).

The calculation puts the total energy at -194.85 eV for the cell shown. Its total magnetic moment is 8.00 μB/cell.